# 1
VASP calculation (PBE-GGA) on a geometry-optimized LaOs2Ru structure.

Cell lengths 5.4294, 9.8994, 2.8689 Å; angles 90.00, 114.77, 90.00 degrees
Closest atoms and distances in Å follow each position.
Positions (direct):
La: 0.0000 0.0000 0.0000  4 Ru 2.71-3.01, 2 La 2.87, 4 Os 2.90
La: 0.5000 0.5000 0.0000  4 Ru 2.71-3.01, 2 La 2.87, 4 Os 2.90
Os: 0.2500 0.2500 0.5000  6 Os 2.71-3.01, 2 La 2.90, 2 Ru 2.90
Os: 0.2500 0.7500 0.5000  6 Os 2.71-3.01, 2 La 2.90, 2 Ru 2.90
Os: 0.7500 0.2500 0.5000  6 Os 2.71-3.01, 2 La 2.90, 2 Ru 2.90
Os: 0.7500 0.7500 0.5000  6 Os 2.71-3.01, 2 La 2.90, 2 Ru 2.90
Ru: 0.0000 0.5000 0.0000  4 La 2.71-3.01, 2 Ru 2.87, 4 Os 2.90
Ru: 0.5000 0.0000 0.0000  4 La 2.71-3.01, 2 Ru 2.87, 4 Os 2.90

Calculated values
Excess energy over the best structure of this formula in the dataset ... 318 meV per atom
E_tot ... -8.525 eV per atom
N(E_F) ... 10.8 states/eV per cell
Space group ... C2/m
ΔH_f (0 K) ... 0.641 eV per atom
Total magnetization ... 0.89 μB/f.u.

---

# 2
VASP calculation (PBE-GGA) on a geometry-optimized Ac8MgNi2 structure.

Cell lengths 8.7058, 8.7058, 6.0920 Å; angles 97.34, 97.34, 115.22 degrees
Closest atoms and distances in Å follow each position.
Positions (direct):
Ac: 0.0000 0.0000 0.0000  4 Ac 3.51-3.71, 2 Ni 3.55, 1 Mg 3.58
Ac: 0.0557 0.3158 0.6255  2 Ni 3.05-3.08
Ac: 0.1464 0.6426 0.2021  2 Ni 3.12
Ac: 0.3158 0.0557 0.6255  2 Ni 3.05-3.08
Ac: 0.4722 0.7328 0.7790  2 Ni 3.06-3.08
Ac: 0.6426 0.1464 0.2021  2 Ni 3.12
Ac: 0.7328 0.4722 0.7790  2 Ni 3.06-3.08
Ac: 0.7866 0.7866 0.4025  4 Ac 3.51-3.71, 2 Ni 3.56, 1 Mg 3.58
Mg: 0.3930 0.3930 0.2012  4 Ac 3.58-3.65
Ni: 0.1001 0.6872 0.7018  6 Ac 3.05-3.12
Ni: 0.6872 0.1001 0.7018  6 Ac 3.05-3.12

Calculated values
E_tot ... -4.181 eV per atom
N(E_F) ... 14.5 states/eV per cell
Space group ... Cm
ΔH_f (0 K) ... 0.003 eV per atom
Total magnetization ... 0.00 μB/f.u.

---

- Which of these has the lowest E_tot?
  LaOs2Ru

---

- Which of these has the highest ΔH_f (0 K)?
  LaOs2Ru

---

- What is the formula in the second record?
  Ac8MgNi2

---

- Number 1 is which compound?
  LaOs2Ru